(1)
Entry from Alexandria via LeMat-Bulk: crystalline CsSi2Pt at its relaxed geometry (PBE).

Lattice parameters (Å, degrees): 3.3901 3.3901 8.0484 90.00 90.00 90.00
With the nearest neighbours (Å) after each atom.
Space group P4/mmm (No. 123)
One atom of each set of equivalent atoms:
Cs 0.0000 0.0000 0.0000 (multiplicity 1)  4 Cs 3.39, 8 Si 3.70
Si 0.5000 0.5000 0.3501 (multiplicity 2)  1 Si 2.41, 4 Pt 2.68
Pt 0.0000 0.0000 0.5000 (multiplicity 1)  8 Si 2.68

Values from the calculation:
Raw formation energy = 0.01 eV/atom
Excess energy over the best structure of this formula in the dataset = 341.2 meV per atom
Uncorrected energy = -4.427 eV/atom
M_tot = 0.000 μB per atom


(2)
Entry from Alexandria via LeMat-Bulk: crystalline NpGa2Sn at its relaxed geometry (PBE).

Lattice parameters (Å, degrees): 4.4536 4.4536 4.2832 90.00 90.00 90.00
With the nearest neighbours (Å) after each atom.
Space group P4/mmm (No. 123)
One atom of each set of equivalent atoms:
Np 0.0000 0.0000 0.0000 (multiplicity 1)  8 Ga 3.09, 4 Sn 3.15
Ga 0.0000 0.5000 0.5000 (multiplicity 2)  4 Sn 3.09, 4 Np 3.09, 4 Ga 3.15
Sn 0.5000 0.5000 0.0000 (multiplicity 1)  8 Ga 3.09, 4 Np 3.15

Values from the calculation:
Excess energy over the best structure of this formula in the dataset = 0.0 meV per atom
Uncorrected energy = -5.936 eV/atom
M_tot = 1.014 μB per atom
Formation energy from the elements = -0.186 eV per atom